Compound: TePtW2
Source: Alexandria via LeMat-Bulk
Functional: PBE-GGA
Structure: relaxed

a = 5.0381 Å, b = 5.0381 Å, c = 3.0089 Å
α = 90.00°, β = 90.00°, γ = 114.11°
With the nearest neighbours (Å) after each atom.
Element x y z (fractional)
Te: 0.0000 0.5000 0.5000  2 Pt 2.74, 8 W 2.93, 2 Te 3.01
Pt: 0.5000 0.0000 0.5000  2 Te 2.74, 8 W 2.93, 2 Pt 3.01
W: 0.5000 0.5000 0.0000  4 W 2.74-3.01, 4 Te 2.93, 4 Pt 2.93
W: 0.0000 0.0000 0.0000  4 W 2.74-3.01, 4 Pt 2.93, 4 Te 2.93

Results
SG: Cmmm
formation energy without anion corrections: 0.652 eV/atom
density: 16.4 g/cm3

Compound: TePtW
Source: Alexandria via LeMat-Bulk
Functional: PBE-GGA
Structure: relaxed

a = 3.1962 Å, b = 3.1962 Å, c = 6.4620 Å
α = 90.00°, β = 90.00°, γ = 120.00°
With the nearest neighbours (Å) after each atom.
Element x y z (fractional)
Te: 0.6667 0.3333 0.3531  3 W 2.76, 3 Pt 3.06
Pt: 0.0000 0.0000 0.9755  3 W 2.70
W: 0.3333 0.6667 0.6714  3 Pt 2.70, 3 Te 2.76

Results
SG: P3m1
formation energy without anion corrections: 0.379 eV/atom
density: 14.7 g/cm3

Compound: TePtW2
Source: Alexandria via LeMat-Bulk
Functional: PBE-GGA
Structure: relaxed

a = 8.6696 Å, b = 8.6696 Å, c = 8.6696 Å
α = 21.33°, β = 21.33°, γ = 21.33°
With the nearest neighbours (Å) after each atom.
Element x y z (fractional)
Te: 0.7473 0.7473 0.7473  3 W 2.93, 3 Pt 3.04, 6 Te 3.21
W: 0.2529 0.2529 0.2529  3 W 2.60, 3 Pt 2.70
W: 0.9911 0.9911 0.9911  3 W 2.60
Pt: 0.5087 0.5087 0.5087  3 W 2.70

Results
SG: R3m
formation energy without anion corrections: 0.380 eV/atom
density: 15.2 g/cm3